! SrLa5Tl3 PBE relaxed; values from VASP
&SYSTEM
  ibrav = 0, nat = 18, ntyp = 3
/
ATOMIC_SPECIES
Tl 204.38 Tl.upf
Sr 87.62 Sr.upf
La 138.91 La.upf
ATOMIC_POSITIONS crystal
Tl 0.250 0.327 0.000
Tl 0.750 0.673 0.000
Tl 0.750 0.327 0.327
Tl 0.750 0.000 0.673
Tl 0.250 0.000 0.327
Tl 0.250 0.673 0.673
Sr 0.500 0.000 0.000
Sr 0.000 0.000 0.000
La 0.750 0.000 0.341
La 0.250 0.658 0.000
La 0.250 0.342 0.341
La 0.000 0.333 0.666
La 0.250 0.000 0.659
La 0.500 0.333 0.666
La 0.000 0.667 0.334
La 0.750 0.342 0.000
La 0.500 0.667 0.334
La 0.750 0.658 0.659
CELL_PARAMETERS angstrom
-6.352 1.710 -2.888
-1.163 -9.304 -2.953
-3.267 2.796 8.841
! Formation enthalpy at 0 K in eV/f.u.: -2.791
! Calculated density in Mg/m³: 7.7
! Crystal system: hexagonal
! Volume in Å³/cell: 601
! Energy in eV per formula unit: -36.2